# 1
GGA-PBE Nd4Sm5Sb2, relaxed; symmetry = R-3m, No. 166; final energy = -4.62 eV/atom
1.0
2.650 1.530 16.024
-2.650 1.530 16.024
0.000 -3.060 16.024
Nd Sm Sb
4 5 2
Direct
0.071 0.071 0.071
0.223 0.223 0.223
0.777 0.777 0.777
0.929 0.929 0.929
0.000 0.000 0.000
0.147 0.147 0.147
0.304 0.304 0.304
0.696 0.696 0.696
0.853 0.853 0.853
0.373 0.373 0.373
0.627 0.627 0.627



# 2
GGA-PBE Nd2SmSb, relaxed; symmetry = R3m, No. 160; ΔE to the lowest computed polymorph = 201 meV/atom
1.0
2.067 1.193 9.706
-2.067 1.193 9.706
0.000 -2.386 9.706
Nd Sm Sb
2 1 1
Direct
0.000 0.000 0.000
0.197 0.197 0.197
0.765 0.765 0.765
0.599 0.599 0.599



# 3
GGA-PBE Nd5SmSb5, relaxed; symmetry = C2/m, No. 12; final energy = -5.47 eV/atom
1.0
7.068 -3.170 0.000
7.068 3.170 0.000
-2.841 0.000 8.486
Nd Sm Sb
5 1 5
Direct
0.000 0.000 0.000
0.331 0.331 0.168
0.334 0.334 0.666
0.666 0.666 0.334
0.669 0.669 0.832
0.000 0.000 0.500
0.166 0.166 0.834
0.167 0.167 0.333
0.500 0.500 0.500
0.833 0.833 0.667
0.834 0.834 0.166



# 4
GGA-PBE Nd5SmSb4, relaxed; symmetry = C2/m, No. 12; final energy = -5.30 eV/atom
1.0
9.630 -2.212 0.000
9.630 2.212 0.000
-2.296 0.000 8.428
Nd Sm Sb
5 1 4
Direct
0.000 0.000 0.000
0.326 0.326 0.153
0.336 0.336 0.670
0.664 0.664 0.330
0.674 0.674 0.847
0.000 0.000 0.500
0.169 0.169 0.590
0.494 0.494 0.246
0.506 0.506 0.754
0.831 0.831 0.410



# 5
GGA-PBE NdSm3Sb3, relaxed; symmetry = R-3, No. 148; ΔE to the lowest computed polymorph = 107 meV/atom
1.0
4.623 2.669 6.255
-4.623 2.669 6.255
0.000 -5.338 6.255
Nd Sm Sb
2 6 6
Direct
0.166 0.166 0.166
0.834 0.834 0.834
0.148 0.409 0.683
0.317 0.852 0.591
0.409 0.683 0.148
0.591 0.317 0.852
0.683 0.148 0.409
0.852 0.591 0.317
0.037 0.798 0.424
0.202 0.576 0.963
0.424 0.037 0.798
0.576 0.963 0.202
0.798 0.424 0.037
0.963 0.202 0.576



# 6
GGA-PBE Nd2SmSb, relaxed; symmetry = P4/mmm, No. 123; ΔE to the lowest computed polymorph = 71 meV/atom
1.0
4.193 0.000 0.000
0.000 4.193 0.000
0.000 0.000 7.113
Nd Sm Sb
2 1 1
Direct
0.000 0.000 0.221
0.000 0.000 0.779
0.500 0.500 0.500
0.500 0.500 0.000



# 7
GGA-PBE NdSm4Sb, relaxed; symmetry = Cmc2_1, No. 36; final energy = -4.66 eV/atom
1.0
2.714 -12.065 0.000
2.714 12.065 0.000
0.000 0.000 6.518
Nd Sm Sb
2 8 2
Direct
0.054 0.946 0.500
0.946 0.054 0.000
0.089 0.911 0.000
0.208 0.792 0.250
0.208 0.792 0.751
0.357 0.643 0.001
0.643 0.357 0.501
0.792 0.208 0.251
0.792 0.208 0.750
0.911 0.089 0.500
0.332 0.668 0.501
0.668 0.332 0.001



# 8
GGA-PBE NdSm5Sb6, relaxed; symmetry = C2/m, No. 12; final energy = -5.60 eV/atom
1.0
3.880 -6.721 0.000
3.880 6.721 0.000
-2.590 0.000 7.316
Nd Sm Sb
1 5 6
Direct
0.000 0.000 0.000
0.166 0.834 0.500
0.333 0.667 0.000
0.500 0.500 0.500
0.667 0.333 0.000
0.834 0.166 0.500
0.084 0.419 0.251
0.252 0.252 0.749
0.419 0.084 0.251
0.581 0.916 0.749
0.748 0.748 0.251
0.916 0.581 0.749